1.
# LiIrRh2 | the Alexandria database | GGA-PBEsol | relaxed
data_LiIrRh2
_chemical_formula_sum 'Li1 Ir1 Rh2'
_cell_length_a 2.669
_cell_length_b 3.772
_cell_length_c 5.214
_cell_angle_alpha 90.00
_cell_angle_beta 90.00
_cell_angle_gamma 90.00
_symmetry_space_group_name_H-M 'P m m m'
_symmetry_Int_Tables_number 47
_symmetry_space_group_name_Hall '-P 2 2'
loop_
_atom_site_label
_atom_site_type_symbol
_atom_site_fract_x
_atom_site_fract_y
_atom_site_fract_z
_atom_site_occupancy
Li1 Li 0.000 0.000 0.000 1
Ir1 Ir 0.000 0.000 0.500 1
Rh1 Rh 0.500 0.500 0.246 1
# **Energy above the most stable polymorph in this dataset**: 58 meV per atom
# **DFT total energy**: -28.17 eV per formula unit
# **M_tot**: 0.0 μB/f.u.

---

2.
# Cu5As2 | the Alexandria database | GGA-PBEsol | relaxed
data_Cu5As2
_chemical_formula_sum 'Cu20 As8'
_cell_length_a 5.912
_cell_length_b 11.414
_cell_length_c 5.443
_cell_angle_alpha 90.00
_cell_angle_beta 90.00
_cell_angle_gamma 90.00
_symmetry_space_group_name_H-M 'I b a m'
_symmetry_Int_Tables_number 72
_symmetry_space_group_name_Hall '-I 2 2c'
loop_
_atom_site_label
_atom_site_type_symbol
_atom_site_fract_x
_atom_site_fract_y
_atom_site_fract_z
_atom_site_occupancy
Cu1 Cu 0.000 0.000 0.250 1
Cu2 Cu 0.000 0.229 0.250 1
Cu3 Cu 0.198 0.392 0.000 1
As1 As 0.218 0.385 0.500 1
# **DFT total energy**: -31.62 eV per formula unit
# **M_tot**: 0.0 μB/f.u.

---

3.
# FeCoSi2 | the Alexandria database | GGA-PBEsol | relaxed
data_FeCoSi2
_chemical_formula_sum 'Fe2 Co2 Si4'
_cell_length_a 7.423
_cell_length_b 2.616
_cell_length_c 4.534
_cell_angle_alpha 90.00
_cell_angle_beta 101.83
_cell_angle_gamma 90.00
_symmetry_space_group_name_H-M 'C 1 2/m 1'
_symmetry_Int_Tables_number 12
_symmetry_space_group_name_Hall '-C 2y'
loop_
_atom_site_label
_atom_site_type_symbol
_atom_site_fract_x
_atom_site_fract_y
_atom_site_fract_z
_atom_site_occupancy
Fe1 Fe 0.000 0.000 0.000 1
Co1 Co 0.000 0.500 0.500 1
Si1 Si 0.249 0.500 0.246 1
# **Formation energy (no corrections)**: -0.42 eV/atom
# **DFT total energy**: -29.86 eV per formula unit
# **M_tot**: 0.3 μB/f.u.

---

4.
# AgAu3 | the Alexandria database | GGA-PBEsol | relaxed
data_AgAu3
_chemical_formula_sum 'Ag2 Au6'
_cell_length_a 4.062
_cell_length_b 4.062
_cell_length_c 8.144
_cell_angle_alpha 90.00
_cell_angle_beta 90.00
_cell_angle_gamma 90.00
_symmetry_space_group_name_H-M 'I 4/m m m'
_symmetry_Int_Tables_number 139
_symmetry_space_group_name_Hall '-I 4 2'
loop_
_atom_site_label
_atom_site_type_symbol
_atom_site_fract_x
_atom_site_fract_y
_atom_site_fract_z
_atom_site_occupancy
Ag1 Ag 0.000 0.000 0.000 1
Au1 Au 0.000 0.000 0.500 1
Au2 Au 0.000 0.500 0.250 1
# **Energy above the most stable polymorph in this dataset**: 4 meV per atom
# **DFT total energy**: -15.25 eV per formula unit
# **M_tot**: 0.0 μB/f.u.

---

5.
# AlFe2Mo | the Alexandria database | GGA-PBEsol | relaxed
data_AlFe2Mo
_chemical_formula_sum 'Al1 Fe2 Mo1'
_cell_length_a 4.484
_cell_length_b 2.602
_cell_length_c 4.759
_cell_angle_alpha 90.00
_cell_angle_beta 114.23
_cell_angle_gamma 90.00
_symmetry_space_group_name_H-M 'P 1 2/m 1'
_symmetry_Int_Tables_number 10
_symmetry_space_group_name_Hall '-P 2y'
loop_
_atom_site_label
_atom_site_type_symbol
_atom_site_fract_x
_atom_site_fract_y
_atom_site_fract_z
_atom_site_occupancy
Al1 Al 0.000 0.000 0.000 1
Fe1 Fe 0.500 0.000 0.500 1
Fe2 Fe 0.500 0.500 0.000 1
Mo1 Mo 0.000 0.500 0.500 1
# **DFT total energy**: -33.38 eV per formula unit
# **M_tot**: 2.9 μB/f.u.

---

6.
# TiHg3Ge | the Alexandria database | GGA-PBEsol | relaxed
data_TiHg3Ge
_chemical_formula_sum 'Ti1 Hg3 Ge1'
_cell_length_a 5.070
_cell_length_b 5.070
_cell_length_c 5.070
_cell_angle_alpha 90.00
_cell_angle_beta 90.00
_cell_angle_gamma 90.00
_symmetry_space_group_name_H-M 'P m -3 m'
_symmetry_Int_Tables_number 221
_symmetry_space_group_name_Hall '-P 4 2 3'
loop_
_atom_site_label
_atom_site_type_symbol
_atom_site_fract_x
_atom_site_fract_y
_atom_site_fract_z
_atom_site_occupancy
Ti1 Ti 0.000 0.000 0.000 1
Hg1 Hg 0.000 0.500 0.500 1
Ge1 Ge 0.500 0.500 0.500 1
# **DFT total energy**: -11.12 eV per formula unit
# **M_tot**: 2.5 μB/f.u.

---

Listing calculated density for the structures above in their given order: 12.8, 8.5, 6.6, 17.3, 7.7, 9.2 g/cm3.
Listing N(E_F) for the structures above in their given order: 1.09, 0.32, 0.80, 0.27, 1.11, 1.23 states/eV/atom.